! Tb7Nd2Tm4 GGA-PBE optimized geometry; values from VASP
&SYSTEM
  ibrav = 0, nat = 13, ntyp = 3
/
ATOMIC_SPECIES
Tb 158.93 Tb.upf
Nd 144.24 Nd.upf
Tm 168.93 Tm.upf
ATOMIC_POSITIONS angstrom
Tb 0.0000 0.0000 0.0000
Tb -1.0893 1.8867 2.9129
Tb -1.9507 3.3787 10.3129
Tb 2.1785 0.0000 2.9129
Tb 1.0893 1.8867 10.3129
Tb 3.9014 0.0000 10.3129
Tb 1.9507 3.3787 2.9129
Nd 0.0000 3.5102 0.0000
Nd 3.0400 1.7551 0.0000
Tm 0.0000 0.0000 5.2231
Tm 0.0000 0.0000 8.0026
Tm 0.0000 3.5102 6.6129
Tm 3.0400 1.7551 6.6129
CELL_PARAMETERS angstrom
6.0799 0.0000 0.0000
-3.0399 5.2653 0.0000
0.0000 0.0000 13.2258
! Calculated formation energy = 193.9 meV/atom
! Crystal system = trigonal
! Total magnetic moment = 0.0 μB per cell

---

! AlGeBi2O6 GGA-PBE optimized geometry; values from VASP
&SYSTEM
  ibrav = 0, nat = 20, ntyp = 4
/
ATOMIC_SPECIES
Al 26.98 Al.upf
Ge 72.64 Ge.upf
Bi 208.98 Bi.upf
O 16.00 O.upf
ATOMIC_POSITIONS angstrom
Al 0.0000 0.0000 0.0000
Al -2.7063 2.8773 3.9199
Ge 0.0159 0.0000 3.9199
Ge 2.7222 2.8773 0.0000
Bi -2.6455 0.3122 5.9446
Bi 0.0608 2.5651 2.0247
Bi -0.0290 3.1896 5.8151
Bi 2.6773 5.4424 1.8952
O -0.4861 0.1750 1.8680
O -3.1924 2.7023 5.7879
O 1.0557 4.1313 0.3996
O -1.6505 4.5007 4.3195
O 1.6201 1.0700 0.2862
O -1.0862 1.8073 4.2061
O 1.1180 3.9473 3.6337
O -1.5882 4.6846 7.5536
O 1.6824 1.2540 3.5203
O -1.0239 1.6234 7.4403
O 3.2242 3.0523 2.0519
O 0.5179 5.5797 5.9719
CELL_PARAMETERS angstrom
5.4444 0.0000 0.0000
0.0000 5.7547 0.0000
-5.4126 0.0000 7.8398
! Uncorrected formation energy = -15.3 eV per formula unit
! Crystal system = monoclinic
! Total magnetic moment = 0.0 μB per cell